DFT (PBE) results for a relaxed structure of YTc3.

Lattice parameters (Å, degrees): 3.1661 3.1661 6.9440 90.00 90.00 90.00
Fractional coordinates of all 4 atoms:
Y 0.0000 0.0000 0.0000
Tc 0.0000 0.0000 0.5000
Tc 0.5000 0.5000 0.2887
Tc 0.5000 0.5000 0.7113

Output
- offset from the most stable computed form (meV/atom) = 0
- Fermi-level density of states (states/eV/cell) = 4.1
- energy relative to the elements (eV per atom) = 0.183
- M_tot (μB/cell) = 0.00
- volume (Å³/f.u.) = 69.6
- electronic total energy (eV/cell) = -36.83
- theoretical density (Mg/m³) = 9.13